VASP calculation (GGA-PBE) on a relaxed structure of CaAc2Eu.

Output
Space group   Fm-3m, No. 225
Energy relative to the lowest polymorph listed for this composition   0 meV per atom
Formation energy from the elements   0.19 eV/f.u.
Magnetic moment   7.54 μB/f.u.

POSCAR file:
```
CaAc2Eu
1.0
-0.758 -0.104 6.214
-5.230 -2.392 2.476
0.204 -5.443 3.088
Eu Ac Ca
1 2 1
Direct
0.000 0.000 0.000
0.250 0.250 0.250
0.750 0.750 0.750
0.500 0.500 0.500
```